This record from Alexandria via LeMat-Bulk describes a geometry-optimized CaFe2Cu3Sb2O12 structure. The functional is PBE+U.

Unit cell a=7.597 b=7.597 c=7.597 alpha=90.00 beta=90.00 gamma=90.00
Site moments in Bohr magnetons follow the coordinates.
Atoms (fractional coordinates):
O1 0.325 0.196 0.498  0.17
O2 0.498 0.325 0.196  0.17
O3 0.804 0.498 0.675  0.17
O4 0.502 0.325 0.804  0.17
O5 0.498 0.675 0.804  0.17
O6 0.696 0.002 0.825  0.17
O7 0.175 0.696 0.998  0.17
O8 0.175 0.304 0.002  0.17
O9 0.675 0.196 0.502  0.17
O10 0.196 0.498 0.325  0.17
O11 0.304 0.002 0.175  0.17
O12 0.196 0.502 0.675  0.17
O13 0.502 0.675 0.196  0.17
O14 0.825 0.696 0.002  0.17
O15 0.304 0.998 0.825  0.17
O16 0.002 0.175 0.304  0.17
O17 0.696 0.998 0.175  0.17
O18 0.675 0.804 0.498  0.17
O19 0.325 0.804 0.502  0.17
O20 0.998 0.175 0.696  0.17
O21 0.998 0.825 0.304  0.17
O22 0.002 0.825 0.696  0.17
O23 0.825 0.304 0.998  0.17
O24 0.804 0.502 0.325  0.17
Cu1 0.000 0.500 0.500  0.62
Cu2 0.000 0.500 0.000  0.62
Cu3 0.500 0.000 0.500  0.62
Cu4 0.500 0.500 0.000  0.62
Cu5 0.500 0.000 0.000  0.62
Cu6 0.000 0.000 0.500  0.62
Fe1 0.250 0.750 0.250  4.36
Fe2 0.250 0.250 0.750  4.36
Fe3 0.750 0.250 0.250  4.36
Fe4 0.750 0.750 0.750  4.36
Ca1 0.000 0.000 0.000  0.00
Ca2 0.500 0.500 0.500  0.00
Sb1 0.750 0.250 0.750  0.03
Sb2 0.750 0.750 0.250  0.03
Sb3 0.250 0.250 0.250  0.03
Sb4 0.250 0.750 0.750  0.03

Values from the calculation:
Symmetry: Pn-3, No. 201
Crystal system: cubic
Calculated volume: 10.963 Å³/atom
Total energy: -6.003 eV per atom